(1)
ReSb2Cl | PBE-GGA | relaxed

abc: 9.5880 3.4183 6.5525
angles: 90.00 108.79 90.00
Sites, in units of the cell vectors:
Re (0.0000, 0.0000, 0.0000)
Re (0.5000, 0.5000, 0.0000)
Sb (0.0596, 0.5000, 0.3358)
Sb (0.2111, 0.5000, 0.9971)
Sb (0.5596, 0.0000, 0.3358)
Sb (0.7111, 0.0000, 0.9971)
Cl (0.3629, 0.0000, 0.6797)
Cl (0.8629, 0.5000, 0.6797)

- energy relative to the elements, uncorrected (meV per atom) = 222
- excess energy over the best structure of this formula in the dataset (eV per atom) = 0.110
- space group = Cm

***

(2)
Dy2Se2S | PBE-GGA | relaxed

abc: 8.7978 8.7978 7.1928
angles: 90.00 90.00 153.70
Sites, in units of the cell vectors:
Dy (0.0513, 0.9487, 0.5000)
Dy (0.3151, 0.6849, 0.5311)
Dy (0.6849, 0.3151, 0.0311)
Dy (0.9487, 0.0513, 0.0000)
Se (0.3073, 0.6927, 0.9559)
Se (0.4647, 0.5353, 0.7036)
Se (0.5353, 0.4647, 0.2036)
Se (0.6927, 0.3073, 0.4559)
S (0.1099, 0.8901, 0.8586)
S (0.8901, 0.1099, 0.3586)

- energy relative to the elements, uncorrected (meV per atom) = -1851
- excess energy over the best structure of this formula in the dataset (eV per atom) = 0.051
- space group = Cmc2_1

***

(3)
CaNd2Th | PBE-GGA | relaxed

abc: 8.2541 8.2541 8.2541
angles: 90.00 90.00 90.00
Sites, in units of the cell vectors:
Ca (0.0000, 0.0000, 0.0000)
Ca (0.0000, 0.5000, 0.5000)
Ca (0.5000, 0.0000, 0.5000)
Ca (0.5000, 0.5000, 0.0000)
Nd (0.2500, 0.2500, 0.2500)
Nd (0.2500, 0.2500, 0.7500)
Nd (0.2500, 0.7500, 0.2500)
Nd (0.2500, 0.7500, 0.7500)
Nd (0.7500, 0.2500, 0.2500)
Nd (0.7500, 0.2500, 0.7500)
Nd (0.7500, 0.7500, 0.2500)
Nd (0.7500, 0.7500, 0.7500)
Th (0.0000, 0.0000, 0.5000)
Th (0.0000, 0.5000, 0.0000)
Th (0.5000, 0.0000, 0.0000)
Th (0.5000, 0.5000, 0.5000)

- calculated formation energy (eV per atom) = 0.22
- excess energy over the best structure of this formula in the dataset (eV per atom) = 0.184
- space group = Fm-3m

***

(4)
Rb3Tl9Bi2 | PBE-GGA | relaxed

abc: 10.2759 10.2759 10.2759
angles: 149.21 107.07 81.22
Sites, in units of the cell vectors:
Rb (0.0000, 0.0000, 0.0000)
Rb (0.3126, 0.3126, 0.0000)
Rb (0.6874, 0.6874, 0.0000)
Tl (0.0359, 0.6699, 0.3660)
Tl (0.1448, 0.8685, 0.2764)
Tl (0.3039, 0.6699, 0.6340)
Tl (0.4079, 0.1315, 0.2764)
Tl (0.5000, 0.0000, 0.5000)
Tl (0.5921, 0.8685, 0.7236)
Tl (0.6961, 0.3301, 0.3660)
Tl (0.8552, 0.1315, 0.7236)
Tl (0.9641, 0.3301, 0.6340)
Bi (0.2884, 0.5000, 0.7884)
Bi (0.7116, 0.5000, 0.2116)

- calculated formation energy (eV per atom) = -0.10
- space group = Immm

***

(5)
SrRu2WAu | PBE-GGA | relaxed

abc: 4.6645 4.6645 5.0993
angles: 90.00 90.00 90.00
Sites, in units of the cell vectors:
Sr (0.0000, 0.0000, 0.0000)
Ru (0.0000, 0.5000, 0.0000)
Ru (0.5000, 0.0000, 0.0000)
W (0.5000, 0.5000, 0.5000)
Au (0.0000, 0.0000, 0.5000)

- calculated formation energy (eV per atom) = 2.84
- space group = P4/mmm

***

(6)
CaOs2Au | PBE-GGA | relaxed

abc: 2.9233 2.9233 8.3536
angles: 90.00 90.00 90.00
Sites, in units of the cell vectors:
Ca (0.0000, 0.0000, 0.0000)
Os (0.0000, 0.0000, 0.4627)
Os (0.5000, 0.5000, 0.2777)
Au (0.5000, 0.5000, 0.7143)

- calculated formation energy (eV per atom) = 0.19
- excess energy over the best structure of this formula in the dataset (eV per atom) = 0.000
- space group = P4mm